(1)
# FeC2S2 | Alexandria | SCAN | PBEsol geometry
# ΔE_f (raw)   634 kJ/mol of formula units
data_FeC2S2
_symmetry_space_group_name_H-M 'P 4/m b m'
_symmetry_Int_Tables_number 127
_symmetry_space_group_name_Hall '-P 4 2ab'
_cell_length_a 6.5339
_cell_length_b 6.5339
_cell_length_c 2.7180
_cell_angle_alpha 90.00
_cell_angle_beta 90.00
_cell_angle_gamma 90.00
loop_
_atom_site_label
_atom_site_fract_x
_atom_site_fract_y
_atom_site_fract_z
Fe1 0.0000 0.0000 0.0000
C1 0.2262 0.2738 0.5000
S1 0.1581 0.6581 0.0000


(2)
# Li4LaSe | Alexandria | SCAN | PBEsol geometry
# ΔE_f (raw)   -109 kJ/mol of formula units
data_Li4LaSe
_symmetry_space_group_name_H-M 'F -4 3 m'
_symmetry_Int_Tables_number 216
_symmetry_space_group_name_Hall 'F -4 2 3'
_cell_length_a 7.8627
_cell_length_b 7.8627
_cell_length_c 7.8627
_cell_angle_alpha 90.00
_cell_angle_beta 90.00
_cell_angle_gamma 90.00
loop_
_atom_site_label
_atom_site_fract_x
_atom_site_fract_y
_atom_site_fract_z
Li1 0.1229 0.1229 0.1229
La1 0.0000 0.0000 0.5000
Se1 0.2500 0.2500 0.7500


(3)
# ZnAsSe4 | Alexandria | SCAN | PBEsol geometry
# ΔE_f (raw)   498 kJ/mol of formula units
data_ZnAsSe4
_symmetry_space_group_name_H-M 'F -4 3 m'
_symmetry_Int_Tables_number 216
_symmetry_space_group_name_Hall 'F -4 2 3'
_cell_length_a 7.8882
_cell_length_b 7.8882
_cell_length_c 7.8882
_cell_angle_alpha 90.00
_cell_angle_beta 90.00
_cell_angle_gamma 90.00
loop_
_atom_site_label
_atom_site_fract_x
_atom_site_fract_y
_atom_site_fract_z
Zn1 0.0000 0.0000 0.0000
As1 0.2500 0.2500 0.7500
Se1 0.1257 0.1257 0.3743


(4)
# BaBe2Sb | Alexandria | SCAN | PBEsol geometry
# ΔE_f (raw)   -14 kJ/mol of formula units
data_BaBe2Sb
_symmetry_space_group_name_H-M 'R 3 m'
_symmetry_Int_Tables_number 160
_symmetry_space_group_name_Hall 'R 3 -2"'
_cell_length_a 3.9712
_cell_length_b 3.9712
_cell_length_c 19.4091
_cell_angle_alpha 90.00
_cell_angle_beta 90.00
_cell_angle_gamma 120.00
loop_
_atom_site_label
_atom_site_fract_x
_atom_site_fract_y
_atom_site_fract_z
Ba1 0.0000 0.0000 0.0000
Be1 0.0000 0.0000 0.2114
Be2 0.0000 0.0000 0.5451
Sb1 0.0000 0.0000 0.8104


(5)
# TaTi2InCu | Alexandria | SCAN | PBEsol geometry
# Calculated total energy   -27.6275 eV per atom
data_TaTi2InCu
_symmetry_space_group_name_H-M 'P 4/m m m'
_symmetry_Int_Tables_number 123
_symmetry_space_group_name_Hall '-P 4 2'
_cell_length_a 4.8577
_cell_length_b 4.8577
_cell_length_c 5.0130
_cell_angle_alpha 90.00
_cell_angle_beta 90.00
_cell_angle_gamma 90.00
loop_
_atom_site_label
_atom_site_fract_x
_atom_site_fract_y
_atom_site_fract_z
Ta1 0.0000 0.0000 0.0000
Ti1 0.0000 0.5000 0.5000
In1 0.0000 0.0000 0.5000
Cu1 0.5000 0.5000 0.0000


(6)
# Zr3Ir5 | Alexandria | SCAN | PBEsol geometry
# Calculated total energy   -56.9079 eV per atom
data_Zr3Ir5
_symmetry_space_group_name_H-M 'C m m m'
_symmetry_Int_Tables_number 65
_symmetry_space_group_name_Hall '-C 2 2'
_cell_length_a 7.4868
_cell_length_b 8.3037
_cell_length_c 4.1973
_cell_angle_alpha 90.00
_cell_angle_beta 90.00
_cell_angle_gamma 90.00
loop_
_atom_site_label
_atom_site_fract_x
_atom_site_fract_y
_atom_site_fract_z
Zr1 0.0000 0.0000 0.0000
Zr2 0.0000 0.2867 0.5000
Ir1 0.0000 0.5000 0.0000
Ir2 0.2265 0.0000 0.5000
Ir3 0.2500 0.2500 0.0000


(7)
# GaBSeN2 | Alexandria | SCAN | PBEsol geometry
# ΔE_f (raw)   883 kJ/mol of formula units
data_GaBSeN2
_symmetry_space_group_name_H-M 'P 4/m m m'
_symmetry_Int_Tables_number 123
_symmetry_space_group_name_Hall '-P 4 2'
_cell_length_a 3.6133
_cell_length_b 3.6133
_cell_length_c 5.8814
_cell_angle_alpha 90.00
_cell_angle_beta 90.00
_cell_angle_gamma 90.00
loop_
_atom_site_label
_atom_site_fract_x
_atom_site_fract_y
_atom_site_fract_z
Ga1 0.0000 0.0000 0.0000
B1 0.5000 0.5000 0.5000
Se1 0.0000 0.0000 0.5000
N1 0.0000 0.5000 0.0000


(8)
# TiMnP2 | Alexandria | SCAN | PBEsol geometry
# Calculated total energy   -14.1832 eV per atom
data_TiMnP2
_symmetry_space_group_name_H-M 'F m -3 m'
_symmetry_Int_Tables_number 225
_symmetry_space_group_name_Hall '-F 4 2 3'
_cell_length_a 5.8207
_cell_length_b 5.8207
_cell_length_c 5.8207
_cell_angle_alpha 90.00
_cell_angle_beta 90.00
_cell_angle_gamma 90.00
loop_
_atom_site_label
_atom_site_fract_x
_atom_site_fract_y
_atom_site_fract_z
Ti1 0.0000 0.0000 0.0000
Mn1 0.0000 0.0000 0.5000
P1 0.2500 0.2500 0.2500


(9)
# NdCu2Ge2 | Alexandria | SCAN | PBEsol geometry
# Calculated total energy   -23.0683 eV per atom
data_NdCu2Ge2
_symmetry_space_group_name_H-M 'I 4/m m m'
_symmetry_Int_Tables_number 139
_symmetry_space_group_name_Hall '-I 4 2'
_cell_length_a 4.1004
_cell_length_b 4.1004
_cell_length_c 10.0845
_cell_angle_alpha 90.00
_cell_angle_beta 90.00
_cell_angle_gamma 90.00
loop_
_atom_site_label
_atom_site_fract_x
_atom_site_fract_y
_atom_site_fract_z
Nd1 0.0000 0.0000 0.0000
Cu1 0.0000 0.5000 0.2500
Ge1 0.0000 0.0000 0.3766


(10)
# TcMo3 | Alexandria | SCAN | PBEsol geometry
# Offset from the most stable computed form   0.648 kcal/mol of atoms
data_TcMo3
_symmetry_space_group_name_H-M 'C m m m'
_symmetry_Int_Tables_number 65
_symmetry_space_group_name_Hall '-C 2 2'
_cell_length_a 3.1043
_cell_length_b 4.4080
_cell_length_c 8.7549
_cell_angle_alpha 90.00
_cell_angle_beta 90.00
_cell_angle_gamma 90.00
loop_
_atom_site_label
_atom_site_fract_x
_atom_site_fract_y
_atom_site_fract_z
Tc1 0.0000 0.0000 0.0000
Mo1 0.0000 0.0000 0.5000
Mo2 0.0000 0.5000 0.2475


(11)
# TiCdAu3 | Alexandria | SCAN | PBEsol geometry
# Calculated total energy   -50.3447 eV per atom
data_TiCdAu3
_symmetry_space_group_name_H-M 'P m -3 m'
_symmetry_Int_Tables_number 221
_symmetry_space_group_name_Hall '-P 4 2 3'
_cell_length_a 4.9007
_cell_length_b 4.9007
_cell_length_c 4.9007
_cell_angle_alpha 90.00
_cell_angle_beta 90.00
_cell_angle_gamma 90.00
loop_
_atom_site_label
_atom_site_fract_x
_atom_site_fract_y
_atom_site_fract_z
Ti1 0.0000 0.0000 0.0000
Cd1 0.5000 0.5000 0.5000
Au1 0.0000 0.0000 0.5000


(12)
# Co2TeN | Alexandria | SCAN | PBEsol geometry
# ΔE_f (raw)   414 kJ/mol of formula units
data_Co2TeN
_symmetry_space_group_name_H-M 'F m -3 m'
_symmetry_Int_Tables_number 225
_symmetry_space_group_name_Hall '-F 4 2 3'
_cell_length_a 5.7460
_cell_length_b 5.7460
_cell_length_c 5.7460
_cell_angle_alpha 90.00
_cell_angle_beta 90.00
_cell_angle_gamma 90.00
loop_
_atom_site_label
_atom_site_fract_x
_atom_site_fract_y
_atom_site_fract_z
Co1 0.2500 0.2500 0.2500
Te1 0.0000 0.0000 0.0000
N1 0.0000 0.0000 0.5000


(13)
# Ta5Mo3 | Alexandria | SCAN | PBEsol geometry
# Offset from the most stable computed form   1.102 kcal/mol of atoms
data_Ta5Mo3
_symmetry_space_group_name_H-M 'C 1 m 1'
_symmetry_Int_Tables_number 8
_symmetry_space_group_name_Hall 'C -2y'
_cell_length_a 10.5653
_cell_length_b 9.0298
_cell_length_c 2.8383
_cell_angle_alpha 90.00
_cell_angle_beta 100.85
_cell_angle_gamma 90.00
loop_
_atom_site_label
_atom_site_fract_x
_atom_site_fract_y
_atom_site_fract_z
Ta1 0.0000 0.0000 0.0000
Ta2 0.0087 0.5000 0.0228
Ta3 0.1323 0.2513 0.7444
Ta4 0.2589 0.0000 0.4830
Mo1 0.2569 0.5000 0.4958
Mo2 0.3809 0.2510 0.2521


(14)
# TcRh | Alexandria | SCAN | PBEsol geometry
# Offset from the most stable computed form   1.539 kcal/mol of atoms
data_TcRh
_symmetry_space_group_name_H-M 'P m m n'
_symmetry_Int_Tables_number 59
_cell_length_a 2.7020
_cell_length_b 4.2743
_cell_length_c 4.7120
_cell_angle_alpha 90.00
_cell_angle_beta 90.00
_cell_angle_gamma 90.00
loop_
_symmetry_equiv_pos_as_xyz
'x,y,z'
'-x,-y,-z'
'-x+1/2,-y+1/2,z'
'x+1/2,y+1/2,-z'
'x+1/2,-y,-z'
'-x+1/2,y,z'
'-x,y+1/2,-z'
'x,-y+1/2,z'
loop_
_atom_site_label
_atom_site_fract_x
_atom_site_fract_y
_atom_site_fract_z
Tc1 0.2500 0.2500 0.0883
Rh1 0.2500 0.7500 0.4194


(15)
# KCd2Tc | Alexandria | SCAN | PBEsol geometry
# Offset from the most stable computed form   0.000 kcal/mol of atoms
data_KCd2Tc
_symmetry_space_group_name_H-M 'P 4/m m m'
_symmetry_Int_Tables_number 123
_symmetry_space_group_name_Hall '-P 4 2'
_cell_length_a 2.8726
_cell_length_b 2.8726
_cell_length_c 10.0721
_cell_angle_alpha 90.00
_cell_angle_beta 90.00
_cell_angle_gamma 90.00
loop_
_atom_site_label
_atom_site_fract_x
_atom_site_fract_y
_atom_site_fract_z
K1 0.0000 0.0000 0.0000
Cd1 0.5000 0.5000 0.2930
Tc1 0.0000 0.0000 0.5000


(16)
# KY2Mg | Alexandria | SCAN | PBEsol geometry
# Calculated total energy   -16.9561 eV per atom
data_KY2Mg
_symmetry_space_group_name_H-M 'C m m m'
_symmetry_Int_Tables_number 65
_symmetry_space_group_name_Hall '-C 2 2'
_cell_length_a 3.8980
_cell_length_b 5.5052
_cell_length_c 12.3494
_cell_angle_alpha 90.00
_cell_angle_beta 90.00
_cell_angle_gamma 90.00
loop_
_atom_site_label
_atom_site_fract_x
_atom_site_fract_y
_atom_site_fract_z
K1 0.0000 0.0000 0.0000
Y1 0.0000 0.5000 0.2888
Mg1 0.0000 0.0000 0.5000


(17)
# Sr2RuSe | Alexandria | SCAN | PBEsol geometry
# ΔE_f (raw)   -92 kJ/mol of formula units
data_Sr2RuSe
_symmetry_space_group_name_H-M 'I -4 m 2'
_symmetry_Int_Tables_number 119
_symmetry_space_group_name_Hall 'I -4 -2'
_cell_length_a 4.2932
_cell_length_b 4.2932
_cell_length_c 10.9736
_cell_angle_alpha 90.00
_cell_angle_beta 90.00
_cell_angle_gamma 90.00
loop_
_atom_site_label
_atom_site_fract_x
_atom_site_fract_y
_atom_site_fract_z
Sr1 0.0000 0.0000 0.0000
Sr2 0.0000 0.5000 0.2500
Ru1 0.0000 0.0000 0.5000
Se1 0.0000 0.5000 0.7500


(18)
# BaLiTl2 | Alexandria | SCAN | PBEsol geometry
# Calculated total energy   -47.0111 eV per atom
data_BaLiTl2
_symmetry_space_group_name_H-M 'I m m 2'
_symmetry_Int_Tables_number 44
_symmetry_space_group_name_Hall 'I 2 -2'
_cell_length_a 5.4663
_cell_length_b 5.4855
_cell_length_c 7.7475
_cell_angle_alpha 90.00
_cell_angle_beta 90.00
_cell_angle_gamma 90.00
loop_
_atom_site_label
_atom_site_fract_x
_atom_site_fract_y
_atom_site_fract_z
Ba1 0.0000 0.0000 0.0000
Li1 0.0000 0.5000 0.2487
Tl1 0.0000 0.0000 0.5008
Tl2 0.0000 0.5000 0.7506


(19)
# HfMnF2 | Alexandria | SCAN | PBEsol geometry
# ΔE_f (raw)   -414 kJ/mol of formula units
data_HfMnF2
_symmetry_space_group_name_H-M 'F m -3 m'
_symmetry_Int_Tables_number 225
_symmetry_space_group_name_Hall '-F 4 2 3'
_cell_length_a 5.8713
_cell_length_b 5.8713
_cell_length_c 5.8713
_cell_angle_alpha 90.00
_cell_angle_beta 90.00
_cell_angle_gamma 90.00
loop_
_atom_site_label
_atom_site_fract_x
_atom_site_fract_y
_atom_site_fract_z
Hf1 0.0000 0.0000 0.0000
Mn1 0.0000 0.0000 0.5000
F1 0.2500 0.2500 0.2500


(20)
# CsSmCdSe3 | Alexandria | SCAN | PBEsol geometry
# ΔE_f (raw)   -908 kJ/mol of formula units
data_CsSmCdSe3
_symmetry_space_group_name_H-M 'C m c m'
_symmetry_Int_Tables_number 63
_symmetry_space_group_name_Hall '-C 2c 2'
_cell_length_a 4.2701
_cell_length_b 15.8176
_cell_length_c 11.1138
_cell_angle_alpha 90.00
_cell_angle_beta 90.00
_cell_angle_gamma 90.00
loop_
_atom_site_label
_atom_site_fract_x
_atom_site_fract_y
_atom_site_fract_z
Cs1 0.0000 0.2447 0.2500
Sm1 0.0000 0.5000 0.0000
Cd1 0.0000 0.0389 0.7500
Se1 0.0000 0.1222 0.5488
Se2 0.0000 0.4368 0.7500


Calculated magnetization in order - 0.60, 0.17, 0.00, 0.00, 0.00, 0.00, 0.57, 0.52, 0.00, 0.00, 0.19, 0.57, 0.00, 0.00, 0.00, 0.15, 0.41, 0.00, 0.84, 0.00 μB per atom